Below is a geometry-optimized LiYZrS4 structure, with properties calculated at the PBE-GGA level.

```
14
Lattice="-0.450 2.722 -7.055 -5.677 -2.490 -4.665 -5.750 4.882 -1.817" Properties=species:S:1:pos:R:3 pbc="T T T"
Y -5.713 1.196 -3.241
Y 0.000 0.000 0.000
S -5.666 3.714 -4.275
S -3.194 2.808 -6.847
S -5.894 5.096 -7.855
S -8.683 2.306 -6.690
S -5.983 0.018 -5.681
S -8.904 3.667 -10.218
S -2.973 1.447 -3.319
S -6.211 1.400 -9.261
Zr -2.875 2.441 -0.908
Zr -3.100 3.802 -4.436
Li -7.294 4.360 -5.986
Li -4.583 0.754 -7.550
```

Results
M_tot ... 0.000 μB per formula unit
Electronic total energy ... -90.86 eV/cell
SG ... No. 74
Formation energy from raw total energies ... -11.994 eV/f.u.



Below is a geometry-optimized Y4Ni3 structure, with properties calculated at the PBE-GGA level.

```
7
Lattice="4.180 2.915 1.635 -4.444 -0.209 2.975 2.141 -4.679 2.869" Properties=species:S:1:pos:R:3 pbc="T T T"
Y 2.376 -0.466 3.516
Y 1.632 -3.568 2.187
Y 0.509 -1.112 0.682
Y -0.499 -1.508 3.963
Ni -2.222 -0.105 1.487
Ni -0.132 1.353 2.305
Ni 2.090 1.457 0.818
```

Results
M_tot ... 0.000 μB per formula unit
Electronic total energy ... -43.28 eV/cell
Polymorph energy (0 for the lowest one) ... 171 meV/atom
SG ... No. 191



> Which value of M_tot does entry 2 give?

0.000 μB per formula unit